Entry 1:
## KC3 (PBE-GGA)

Data for a relaxed structure of KC3.

Cell and atoms, written as CIF:
```
data_KC3
_chemical_formula_sum 'K1 C3'
_cell_length_a 2.640
_cell_length_b 2.640
_cell_length_c 6.541
_cell_angle_alpha 90.00
_cell_angle_beta 90.00
_cell_angle_gamma 90.00
_symmetry_space_group_name_H-M 'P 1'
_symmetry_Int_Tables_number 1
_symmetry_space_group_name_Hall 'P 1'
loop_
_atom_site_label
_atom_site_type_symbol
_atom_site_fract_x
_atom_site_fract_y
_atom_site_fract_z
_atom_site_occupancy
K1 K 0.000 0.500 0.292 1
C1 C 0.000 0.000 0.669 1
C2 C 0.500 0.000 0.792 1
C3 C 0.500 0.500 0.915 1
```

N(E_F) ... 1.0 states/eV per cell
Energy of formation from the pure elements ... 1.481 eV per atom
VASP energy ... -5.711 eV per atom
Energy above the lowest structure with this stoichiometry ... 0.911 eV per atom
Space-group type ... P-4m2, No. 115



Entry 2:
## CeYSc2Bi4 (PBE-GGA)

Data for a relaxed structure of CeYSc2Bi4.

Cell and atoms, written as CIF:
```
data_CeYSc2Bi4
_chemical_formula_sum 'Ce1 Y1 Sc2 Bi4'
_cell_length_a 4.416
_cell_length_b 7.640
_cell_length_c 7.612
_cell_angle_alpha 109.52
_cell_angle_beta 90.00
_cell_angle_gamma 90.00
_symmetry_space_group_name_H-M 'P 1'
_symmetry_Int_Tables_number 1
_symmetry_space_group_name_Hall 'P 1'
loop_
_atom_site_label
_atom_site_type_symbol
_atom_site_fract_x
_atom_site_fract_y
_atom_site_fract_z
_atom_site_occupancy
Bi1 Bi 0.500 0.259 0.269 1
Y1 Y 0.500 0.500 0.000 1
Bi2 Bi 0.500 0.741 0.731 1
Bi3 Bi 0.000 0.753 0.267 1
Sc1 Sc 0.000 0.500 0.500 1
Sc2 Sc 0.500 0.000 0.500 1
Ce1 Ce 0.000 0.000 0.000 1
Bi4 Bi 0.000 0.247 0.733 1
```

N(E_F) ... 7.4 states/eV per cell
Energy of formation from the pure elements ... -0.746 eV per atom
VASP energy ... -5.819 eV per atom
Space-group type ... P2/m, No. 10



Entry 3:
## Pm6P2PbSe3 (PBE-GGA)

Data for a relaxed structure of Pm6P2PbSe3.

Cell and atoms, written as CIF:
```
data_Pm6P2PbSe3
_chemical_formula_sum 'Pm6 P2 Pb1 Se3'
_cell_length_a 4.211
_cell_length_b 8.560
_cell_length_c 9.492
_cell_angle_alpha 103.02
_cell_angle_beta 102.82
_cell_angle_gamma 90.00
_symmetry_space_group_name_H-M 'P 1'
_symmetry_Int_Tables_number 1
_symmetry_space_group_name_Hall 'P 1'
loop_
_atom_site_label
_atom_site_type_symbol
_atom_site_fract_x
_atom_site_fract_y
_atom_site_fract_z
_atom_site_occupancy
Se1 Se 0.164 0.832 0.329 1
Pm1 Pm 0.328 0.897 0.656 1
Pm2 Pm 0.672 0.103 0.344 1
Pm3 Pm 0.328 0.427 0.656 1
Se2 Se 0.500 0.500 0.000 1
Pb1 Pb 0.500 0.000 0.000 1
Pm4 Pm 0.672 0.573 0.344 1
P1 P 0.831 0.663 0.663 1
Pm5 Pm 0.994 0.736 0.987 1
P2 P 0.169 0.337 0.337 1
Pm6 Pm 0.006 0.264 0.013 1
Se3 Se 0.836 0.168 0.671 1
```

N(E_F) ... 5.0 states/eV per cell
VASP energy ... -6.016 eV per atom
Space-group type ... C2/m, No. 12
Uncorrected formation energy ... -1.559 eV per atom



- The highest N(E_F) belongs to which entry?
  CeYSc2Bi4